1.
First-principles (PBE) data for crystalline Cr2InGeH at its relaxed geometry, as listed in Alexandria via LeMat-Bulk.

Values from the calculation:
Space group   P4/mmm (123)
Density of states at the Fermi level   2.6 states/eV per cell
Energy   -5.550 eV per atom

abc: 4.0495 4.1162 4.0495
angles: 90.00 90.00 90.00
Closest atoms and distances in Å follow each position.
Fractional coordinates of all 5 atoms:
Cr 0.0000 0.0000 0.5000  2 H 2.02
In 0.0000 0.5000 0.0000  2 H 2.06
Ge 0.5000 0.5000 0.5000  4 In 2.86, 8 Cr 2.89
Cr 0.5000 0.0000 0.0000  2 H 2.02
H 0.0000 0.0000 0.0000  4 Cr 2.02, 2 In 2.06



2.
First-principles (PBE) data for crystalline Li2CrGeH at its relaxed geometry, as listed in Alexandria via LeMat-Bulk.

Values from the calculation:
Space group   P4/mmm (123)
Density of states at the Fermi level   2.2 states/eV per cell
Energy   -4.449 eV per atom

abc: 3.7415 3.7415 4.1471
angles: 90.00 90.00 90.00
Closest atoms and distances in Å follow each position.
Fractional coordinates of all 5 atoms:
H 0.0000 0.0000 0.0000  4 Li 1.87, 2 Cr 2.07
Ge 0.5000 0.5000 0.5000  4 Cr 2.65, 8 Li 2.79
Li 0.5000 0.0000 0.0000  2 H 1.87
Cr 0.0000 0.0000 0.5000  2 H 2.07
Li 0.0000 0.5000 0.0000  2 H 1.87



3.
First-principles (PBE) data for crystalline Mn2CrGeH at its relaxed geometry, as listed in Alexandria via LeMat-Bulk.

Values from the calculation:
Space group   P4/mmm (123)
Density of states at the Fermi level   4.5 states/eV per cell
Energy   -7.234 eV per atom

abc: 3.6913 3.6913 3.7810
angles: 90.00 90.00 90.00
Closest atoms and distances in Å follow each position.
Fractional coordinates of all 5 atoms:
Mn 0.5000 0.0000 0.0000  2 H 1.85
Mn 0.0000 0.5000 0.0000  2 H 1.85
H 0.0000 0.0000 0.0000  4 Mn 1.85, 2 Cr 1.89
Cr 0.0000 0.0000 0.5000  2 H 1.89
Ge 0.5000 0.5000 0.5000  4 Cr 2.61, 8 Mn 2.64



4.
First-principles (PBE) data for crystalline MnCr2GeH at its relaxed geometry, as listed in Alexandria via LeMat-Bulk.

Values from the calculation:
Space group   P4/mmm (123)
Density of states at the Fermi level   5.2 states/eV per cell
Energy   -7.262 eV per atom

abc: 3.6914 3.6914 3.7905
angles: 90.00 90.00 90.00
Closest atoms and distances in Å follow each position.
Fractional coordinates of all 5 atoms:
Cr 0.0000 0.5000 0.0000  2 H 1.85
Ge 0.5000 0.5000 0.5000  4 Mn 2.61, 8 Cr 2.65
H 0.0000 0.0000 0.0000  4 Cr 1.85, 2 Mn 1.90
Cr 0.5000 0.0000 0.0000  2 H 1.85
Mn 0.0000 0.0000 0.5000  2 H 1.90



5.
First-principles (PBE) data for crystalline CrGeMoH2 at its relaxed geometry, as listed in Alexandria via LeMat-Bulk.

Values from the calculation:
Space group   P4/mmm (123)
Density of states at the Fermi level   3.7 states/eV per cell
Energy   -5.650 eV per atom

abc: 3.4647 4.7634 3.4647
angles: 90.00 90.00 90.00
Closest atoms and distances in Å follow each position.
Fractional coordinates of all 5 atoms:
Ge 0.0000 0.5000 0.0000  2 Cr 2.38, 4 Mo 2.45
H 0.0000 0.0000 0.5000  2 Cr 1.73
Mo 0.5000 0.5000 0.5000  4 Ge 2.45
Cr 0.0000 0.0000 0.0000  4 H 1.73
H 0.5000 0.0000 0.0000  2 Cr 1.73



6.
First-principles (PBE) data for crystalline CrGeMo2H at its relaxed geometry, as listed in Alexandria via LeMat-Bulk.

Values from the calculation:
Space group   P4/mmm (123)
Density of states at the Fermi level   4.3 states/eV per cell
Energy   -7.743 eV per atom

abc: 4.0913 4.0913 3.6497
angles: 90.00 90.00 90.00
Closest atoms and distances in Å follow each position.
Fractional coordinates of all 5 atoms:
Cr 0.0000 0.0000 0.5000  2 H 1.82
Mo 0.0000 0.5000 0.0000  2 H 2.05
H 0.0000 0.0000 0.0000  2 Cr 1.82
Mo 0.5000 0.0000 0.0000  2 H 2.05
Ge 0.5000 0.5000 0.5000  8 Mo 2.74, 4 Cr 2.89



7.
First-principles (PBE) data for crystalline NbCr2GeH at its relaxed geometry, as listed in Alexandria via LeMat-Bulk.

Values from the calculation:
Space group   P4/mmm (123)
Density of states at the Fermi level   3.1 states/eV per cell
Energy   -7.473 eV per atom

abc: 3.8697 3.8697 3.9297
angles: 90.00 90.00 90.00
Closest atoms and distances in Å follow each position.
Fractional coordinates of all 5 atoms:
Cr 0.0000 0.5000 0.0000  2 H 1.93
Ge 0.5000 0.5000 0.5000  4 Nb 2.74, 8 Cr 2.76
Nb 0.0000 0.0000 0.5000  2 H 1.96
Cr 0.5000 0.0000 0.0000  2 H 1.93
H 0.0000 0.0000 0.0000  4 Cr 1.93, 2 Nb 1.96



8.
First-principles (PBE) data for crystalline Cr2NiGeH at its relaxed geometry, as listed in Alexandria via LeMat-Bulk.

Values from the calculation:
Space group   P4/mmm (123)
Density of states at the Fermi level   4.8 states/eV per cell
Energy   -6.614 eV per atom

abc: 3.6758 3.6758 3.7845
angles: 90.00 90.00 90.00
Closest atoms and distances in Å follow each position.
Fractional coordinates of all 5 atoms:
Cr 0.0000 0.5000 0.0000  2 H 1.84
H 0.0000 0.0000 0.0000  4 Cr 1.84, 2 Ni 1.89
Ni 0.0000 0.0000 0.5000  2 H 1.89
Ge 0.5000 0.5000 0.5000  4 Ni 2.60, 8 Cr 2.64
Cr 0.5000 0.0000 0.0000  2 H 1.84



9.
First-principles (PBE) data for crystalline CrNi2GeH at its relaxed geometry, as listed in Alexandria via LeMat-Bulk.

Values from the calculation:
Space group   P4/mmm (123)
Density of states at the Fermi level   4.3 states/eV per cell
Energy   -5.950 eV per atom

abc: 3.6488 3.6488 3.8118
angles: 90.00 90.00 90.00
Closest atoms and distances in Å follow each position.
Fractional coordinates of all 5 atoms:
Ge 0.5000 0.5000 0.5000  4 Cr 2.58, 8 Ni 2.64
Cr 0.0000 0.0000 0.5000  2 H 1.91
Ni 0.5000 0.0000 0.0000  2 H 1.82
Ni 0.0000 0.5000 0.0000  2 H 1.82
H 0.0000 0.0000 0.0000  4 Ni 1.82, 2 Cr 1.91



10.
First-principles (PBE) data for crystalline CrGeHPd2 at its relaxed geometry, as listed in Alexandria via LeMat-Bulk.

Values from the calculation:
Space group   P4/mmm (123)
Density of states at the Fermi level   2.6 states/eV per cell
Energy   -5.717 eV per atom

abc: 3.9539 3.9539 4.0120
angles: 90.00 90.00 90.00
Closest atoms and distances in Å follow each position.
Fractional coordinates of all 5 atoms:
Pd 0.5000 0.0000 0.0000  2 H 1.98
Cr 0.0000 0.0000 0.5000  2 H 2.01
Ge 0.5000 0.5000 0.5000  4 Cr 2.80, 8 Pd 2.82
H 0.0000 0.0000 0.0000  4 Pd 1.98, 2 Cr 2.01
Pd 0.0000 0.5000 0.0000  2 H 1.98



11.
First-principles (PBE) data for crystalline CrGeHRh2 at its relaxed geometry, as listed in Alexandria via LeMat-Bulk.

Values from the calculation:
Space group   P4/mmm (123)
Density of states at the Fermi level   1.3 states/eV per cell
Energy   -6.692 eV per atom

abc: 3.9508 3.9508 3.7755
angles: 90.00 90.00 90.00
Closest atoms and distances in Å follow each position.
Fractional coordinates of all 5 atoms:
Cr 0.0000 0.0000 0.5000  2 H 1.89
Ge 0.5000 0.5000 0.5000  8 Rh 2.73, 4 Cr 2.79
Rh 0.5000 0.0000 0.0000  2 H 1.98
H 0.0000 0.0000 0.0000  2 Cr 1.89, 4 Rh 1.98
Rh 0.0000 0.5000 0.0000  2 H 1.98



12.
First-principles (PBE) data for crystalline CrGe2HRu at its relaxed geometry, as listed in Alexandria via LeMat-Bulk.

Values from the calculation:
Space group   P4/mmm (123)
Density of states at the Fermi level   2.9 states/eV per cell
Energy   -5.749 eV per atom

abc: 4.7254 3.1179 4.7254
angles: 90.00 90.00 90.00
Closest atoms and distances in Å follow each position.
Fractional coordinates of all 5 atoms:
Ge 0.5000 0.0000 0.0000  2 Cr 2.36
H 0.0000 0.5000 0.0000  2 Cr 1.56
Ru 0.5000 0.5000 0.5000  8 Ge 2.83, 2 Ru 3.12
Ge 0.0000 0.0000 0.5000  2 Cr 2.36
Cr 0.0000 0.0000 0.0000  2 H 1.56



13.
First-principles (PBE) data for crystalline Cr2GeHRu at its relaxed geometry, as listed in Alexandria via LeMat-Bulk.

Values from the calculation:
Space group   P4/mmm (123)
Density of states at the Fermi level   7.3 states/eV per cell
Energy   -7.241 eV per atom

abc: 3.7828 3.7828 3.8832
angles: 90.00 90.00 90.00
Closest atoms and distances in Å follow each position.
Fractional coordinates of all 5 atoms:
Cr 0.0000 0.5000 0.0000  2 H 1.89
Cr 0.5000 0.0000 0.0000  2 H 1.89
Ru 0.0000 0.0000 0.5000  2 H 1.94
Ge 0.5000 0.5000 0.5000  4 Ru 2.67, 8 Cr 2.71
H 0.0000 0.0000 0.0000  4 Cr 1.89, 2 Ru 1.94



14.
First-principles (PBE) data for crystalline SrCrGeH2 at its relaxed geometry, as listed in Alexandria via LeMat-Bulk.

Values from the calculation:
Space group   P4/mmm (123)
Density of states at the Fermi level   1.6 states/eV per cell
Energy   -4.435 eV per atom

abc: 4.1975 4.7208 4.1975
angles: 90.00 90.00 90.00
Closest atoms and distances in Å follow each position.
Fractional coordinates of all 5 atoms:
Cr 0.0000 0.0000 0.0000  4 H 2.10
H 0.0000 0.0000 0.5000  2 Cr 2.10
Sr 0.5000 0.5000 0.5000  4 Ge 2.97, 8 H 3.16
H 0.5000 0.0000 0.0000  2 Cr 2.10
Ge 0.0000 0.5000 0.0000  2 Cr 2.36